A plane-wave DFT calculation with PBE was carried out for crystalline SmCd2GaPd4 at its relaxed geometry.

The value obtained for the magnetic moment is 0.00 μB/cell. Its calculated formation energy is -0.56 eV per atom.

Structure (POSCAR):
```
SmCd2GaPd4
1.0
-4.476 0.843 -1.147
-1.338 -0.142 -4.500
-3.521 -7.212 -1.177
Sm Cd Ga Pd
1 2 1 4
direct
0.000 0.000 0.000 Sm
0.748 0.748 0.756 Cd
0.252 0.252 0.244 Cd
0.500 0.500 0.500 Ga
0.390 0.390 0.829 Pd
0.869 0.869 0.392 Pd
0.131 0.131 0.608 Pd
0.610 0.610 0.171 Pd
```